(1)
{
  "formula": "Te2MoIO",
  "functional": "PBE+U",
  "state": "optimized geometry",
  "e_tot_ev_per_cell": -14.190,
  "magnetic_moment_mub_per_cell": 0.2,
  "lattice": [[-4.681, 1.617, 1.707], [-2.080, -4.622, -1.324], [1.172, -1.988, 5.098]],
  "species": ["I", "Mo", "Te", "Te", "O"],
  "frac_coords": [[0.000, 0.000, 0.500], [0.000, 0.000, 0.000], [0.000, 0.500, 0.000], [0.500, 0.000, 0.000], [0.500, 0.500, 0.500]]
}

(2)
{
  "formula": "TeMoIO2",
  "functional": "PBE+U",
  "state": "optimized geometry",
  "e_tot_ev_per_cell": -23.583,
  "magnetic_moment_mub_per_cell": 2.0,
  "lattice": [[-0.698, 0.005, 4.010], [-3.155, -2.514, -0.546], [4.780, -6.182, 0.840]],
  "species": ["I", "Mo", "Te", "O", "O"],
  "frac_coords": [[0.000, 0.000, 0.500], [0.000, 0.000, 0.000], [0.500, 0.500, 0.500], [0.000, 0.500, 0.000], [0.500, 0.000, 0.000]]
}

(3)
{
  "formula": "Te2MoIO",
  "functional": "PBE+U",
  "state": "optimized geometry",
  "e_tot_ev_per_cell": -18.176,
  "magnetic_moment_mub_per_cell": 4.1,
  "lattice": [[-3.768, -0.275, 2.410], [2.424, -0.598, 3.721], [0.146, 6.988, 1.027]],
  "species": ["I", "Mo", "Te", "Te", "O"],
  "frac_coords": [[0.000, 0.000, 0.500], [0.500, 0.500, 0.500], [0.000, 0.500, 0.000], [0.500, 0.000, 0.000], [0.000, 0.000, 0.000]]
}

(4)
{
  "formula": "TeMoIO2",
  "functional": "PBE+U",
  "state": "optimized geometry",
  "e_tot_ev_per_cell": -21.634,
  "magnetic_moment_mub_per_cell": 4.7,
  "lattice": [[-3.772, 0.016, 1.801], [-1.726, -1.221, -3.606], [0.844, -6.589, 1.827]],
  "species": ["I", "Mo", "Te", "O", "O"],
  "frac_coords": [[0.000, 0.000, 0.500], [0.500, 0.500, 0.500], [0.000, 0.000, 0.000], [0.000, 0.500, 0.000], [0.500, 0.000, 0.000]]
}

(5)
{
  "formula": "TiMo2IO",
  "functional": "PBE+U",
  "state": "optimized geometry",
  "e_tot_ev_per_cell": -26.864,
  "magnetic_moment_mub_per_cell": 3.7,
  "lattice": [[4.620, 0.000, 0.000], [0.000, 4.181, 0.000], [0.000, 0.000, 4.620]],
  "species": ["I", "Mo", "Mo", "O", "Ti"],
  "frac_coords": [[0.500, 0.500, 0.500], [0.000, 0.000, 0.500], [0.500, 0.000, 0.000], [0.000, 0.000, 0.000], [0.000, 0.500, 0.000]]
}

(6)
{
  "formula": "TiMoIO2",
  "functional": "PBE+U",
  "state": "optimized geometry",
  "e_tot_ev_per_cell": -31.147,
  "magnetic_moment_mub_per_cell": 4.5,
  "lattice": [[3.982, 0.000, 0.000], [0.000, 3.982, 0.000], [0.000, 0.000, 5.903]],
  "species": ["I", "Mo", "O", "O", "Ti"],
  "frac_coords": [[0.000, 0.000, 0.500], [0.500, 0.500, 0.500], [0.000, 0.500, 0.000], [0.500, 0.000, 0.000], [0.000, 0.000, 0.000]]
}

(7)
{
  "formula": "TiMoIO2",
  "functional": "PBE+U",
  "state": "optimized geometry",
  "e_tot_ev_per_cell": -28.643,
  "magnetic_moment_mub_per_cell": 4.8,
  "lattice": [[3.988, 0.000, 0.000], [0.000, 3.988, 0.000], [0.000, 0.000, 6.554]],
  "species": ["I", "Mo", "O", "O", "Ti"],
  "frac_coords": [[0.000, 0.000, 0.500], [0.000, 0.000, 0.000], [0.000, 0.500, 0.000], [0.500, 0.000, 0.000], [0.500, 0.500, 0.500]]
}

(8)
{
  "formula": "TlMoIO6",
  "functional": "PBE+U",
  "state": "optimized geometry",
  "e_tot_ev_per_cell": -49.147,
  "magnetic_moment_mub_per_cell": 0.0,
  "lattice": [[5.806, 0.245, 0.012], [3.116, 4.909, -0.017], [0.013, -0.026, 5.979]],
  "species": ["Tl", "Mo", "I", "O", "O", "O", "O", "O", "O"],
  "frac_coords": [[0.996, 0.995, 0.000], [0.654, 0.654, 0.500], [0.316, 0.316, 0.500], [0.021, 0.360, 0.320], [0.360, 0.021, 0.680], [0.585, 0.486, 0.715], [0.982, 0.600, 0.678], [0.486, 0.585, 0.285], [0.600, 0.982, 0.322]]
}

(9)
{
  "formula": "TlMoI2O",
  "functional": "PBE+U",
  "state": "optimized geometry",
  "e_tot_ev_per_cell": -20.559,
  "magnetic_moment_mub_per_cell": 3.0,
  "lattice": [[-3.921, -2.470, 3.998], [-3.080, -2.583, -4.616], [2.302, -3.222, 0.267]],
  "species": ["I", "I", "Tl", "Mo", "O"],
  "frac_coords": [[0.000, 0.500, 0.000], [0.500, 0.000, 0.000], [0.500, 0.500, 0.500], [0.000, 0.000, 0.000], [0.000, 0.000, 0.500]]
}

(10)
{
  "formula": "TlMoI2O",
  "functional": "PBE+U",
  "state": "optimized geometry",
  "e_tot_ev_per_cell": -16.059,
  "magnetic_moment_mub_per_cell": 4.9,
  "lattice": [[6.182, 0.000, 0.000], [0.000, 6.182, 0.000], [0.000, 0.000, 4.110]],
  "species": ["I", "I", "Tl", "Mo", "O"],
  "frac_coords": [[0.000, 0.500, 0.000], [0.500, 0.000, 0.000], [0.000, 0.000, 0.000], [0.500, 0.500, 0.500], [0.000, 0.000, 0.500]]
}

(11)
{
  "formula": "VMoIO2",
  "functional": "PBE+U",
  "state": "optimized geometry",
  "e_tot_ev_per_cell": -27.972,
  "magnetic_moment_mub_per_cell": 6.0,
  "lattice": [[-2.463, -1.068, 2.971], [-1.852, -2.564, -2.456], [4.367, -4.926, 1.850]],
  "species": ["I", "Mo", "O", "O", "V"],
  "frac_coords": [[0.000, 0.000, 0.500], [0.000, 0.000, 0.000], [0.000, 0.500, 0.000], [0.500, 0.000, 0.000], [0.500, 0.500, 0.500]]
}

(12)
{
  "formula": "VMoIO2",
  "functional": "PBE+U",
  "state": "optimized geometry",
  "e_tot_ev_per_cell": -27.843,
  "magnetic_moment_mub_per_cell": 3.4,
  "lattice": [[-0.156, -1.957, -3.450], [-2.929, -2.272, 1.421], [-3.906, 3.798, -1.979]],
  "species": ["I", "Mo", "O", "O", "V"],
  "frac_coords": [[0.000, 0.000, 0.500], [0.500, 0.500, 0.500], [0.000, 0.500, 0.000], [0.500, 0.000, 0.000], [0.000, 0.000, 0.000]]
}

(13)
{
  "formula": "MoWIO2",
  "functional": "PBE+U",
  "state": "optimized geometry",
  "e_tot_ev_per_cell": -26.154,
  "magnetic_moment_mub_per_cell": 6.9,
  "lattice": [[-2.620, -1.611, -2.611], [-2.607, -0.642, 3.011], [-2.909, 6.551, -1.123]],
  "species": ["I", "Mo", "O", "O", "W"],
  "frac_coords": [[0.000, 0.000, 0.500], [0.000, 0.000, 0.000], [0.000, 0.500, 0.000], [0.500, 0.000, 0.000], [0.500, 0.500, 0.500]]
}

(14)
{
  "formula": "MoWIO2",
  "functional": "PBE+U",
  "state": "optimized geometry",
  "e_tot_ev_per_cell": -27.775,
  "magnetic_moment_mub_per_cell": 7.0,
  "lattice": [[4.069, 0.000, 0.000], [0.000, 4.069, 0.000], [0.000, 0.000, 6.283]],
  "species": ["I", "Mo", "O", "O", "W"],
  "frac_coords": [[0.000, 0.000, 0.500], [0.500, 0.500, 0.500], [0.000, 0.500, 0.000], [0.500, 0.000, 0.000], [0.000, 0.000, 0.000]]
}

(15)
{
  "formula": "ZrMoIO2",
  "functional": "PBE+U",
  "state": "optimized geometry",
  "e_tot_ev_per_cell": -32.909,
  "magnetic_moment_mub_per_cell": 5.0,
  "lattice": [[-0.163, -3.761, 1.805], [2.418, 1.387, 3.108], [-5.041, 1.730, 3.150]],
  "species": ["I", "Mo", "O", "O", "Zr"],
  "frac_coords": [[0.000, 0.000, 0.500], [0.500, 0.500, 0.500], [0.000, 0.500, 0.000], [0.500, 0.000, 0.000], [0.000, 0.000, 0.000]]
}

(16)
{
  "formula": "ZrMoI2O",
  "functional": "PBE+U",
  "state": "optimized geometry",
  "e_tot_ev_per_cell": -26.817,
  "magnetic_moment_mub_per_cell": 5.9,
  "lattice": [[5.976, 0.000, 0.000], [0.000, 5.976, 0.000], [0.000, 0.000, 4.040]],
  "species": ["I", "I", "Mo", "O", "Zr"],
  "frac_coords": [[0.000, 0.500, 0.000], [0.500, 0.000, 0.000], [0.500, 0.500, 0.500], [0.000, 0.000, 0.500], [0.000, 0.000, 0.000]]
}

(17)
{
  "formula": "ZrMoI2O",
  "functional": "PBE+U",
  "state": "optimized geometry",
  "e_tot_ev_per_cell": -23.865,
  "magnetic_moment_mub_per_cell": 5.4,
  "lattice": [[5.915, 0.000, 0.000], [0.000, 5.915, 0.000], [0.000, 0.000, 3.865]],
  "species": ["I", "I", "Mo", "O", "Zr"],
  "frac_coords": [[0.000, 0.500, 0.000], [0.500, 0.000, 0.000], [0.000, 0.000, 0.000], [0.000, 0.000, 0.500], [0.500, 0.500, 0.500]]
}

(18)
{
  "formula": "ZrMoIO2",
  "functional": "PBE+U",
  "state": "optimized geometry",
  "e_tot_ev_per_cell": -28.761,
  "magnetic_moment_mub_per_cell": 4.2,
  "lattice": [[-2.585, -3.128, 0.485], [3.148, -2.476, 0.814], [-0.478, 1.288, 5.764]],
  "species": ["I", "Mo", "O", "O", "Zr"],
  "frac_coords": [[0.000, 0.000, 0.500], [0.000, 0.000, 0.000], [0.000, 0.500, 0.000], [0.500, 0.000, 0.000], [0.500, 0.500, 0.500]]
}